(1)
LaTlCu4O6: relaxed, GGA-PBE.

Summary:
Formation energy without anion corrections = -0.50 eV/atom
Magnetic moment = 0.0 Bohr magnetons per cell
Total energy = -4.953 eV per atom

Cell lengths 4.9857, 4.9857, 7.7411 Å; angles 90.00, 90.00, 120.00 degrees
Last column: nearest neighbours and their distance in Å.
Space group P6/mmm (No. 191)
One atom of each set of equivalent atoms:
1 La 0.0000 0.0000 0.0000 x1  12 O 2.83
2 Tl 0.0000 0.0000 0.5000 x1  12 Cu 3.17
3 Cu 0.3333 0.6667 0.3293 x4  3 O 1.88
4 O 0.0000 0.5000 0.1736 x6  2 Cu 1.88

***

(2)
Dy2HoErTe5: relaxed, GGA-PBE.

Summary:
Formation energy without anion corrections = -0.64 eV/atom
Magnetic moment = 0.5 Bohr magnetons per cell
Total energy = -4.422 eV per atom

Cell lengths 5.5269, 5.5269, 11.4599 Å; angles 90.00, 90.00, 90.00 degrees
Last column: nearest neighbours and their distance in Å.
Space group P4/mmm (No. 123)
One atom of each set of equivalent atoms:
1 Dy 0.0000 0.0000 0.1520 x2  4 Te 3.27, 1 Dy 3.48
2 Ho 0.5000 0.5000 0.0000 x1  6 Te 2.76-2.92
3 Er 0.5000 0.5000 0.5000 x1  2 Te 2.81
4 Te 0.0000 0.0000 0.5000 x1  4 Er 3.91, 2 Dy 3.99
5 Te 0.0000 0.5000 0.0000 x2  2 Ho 2.76
6 Te 0.5000 0.5000 0.2546 x2  1 Er 2.81, 1 Ho 2.92

***

(3)
Pr6Nd2Dy3In: relaxed, GGA-PBE.

Summary:
Energy of formation from the pure elements = -0.049 eV/atom
Magnetic moment = 0.0 Bohr magnetons per cell
Total energy = -4.612 eV per atom

Cell lengths 6.2560, 10.8630, 11.9889 Å; angles 90.00, 100.09, 90.00 degrees
Last column: nearest neighbours and their distance in Å.
Space group C2/m (No. 12)
One atom of each set of equivalent atoms:
1 Pr 0.2416 0.0000 0.2484 x4  6 Pr 3.53-3.66, 3 Dy 3.59-3.63, 1 In 3.60, 2 Nd 3.64
2 Pr 0.2462 0.1628 0.7508 x8  6 Pr 3.53-3.66, 1 In 3.59, 3 Dy 3.59-3.63, 2 Nd 3.64
3 Nd 0.0000 0.3336 0.5000 x4  3 In 3.61-3.62, 3 Nd 3.62, 6 Pr 3.64
4 Dy 0.0000 0.1674 0.0000 x4  6 Pr 3.59-3.63, 6 Dy 3.61-3.64
5 Dy 0.0000 0.5000 0.0000 x2  6 Pr 3.59-3.63, 6 Dy 3.61-3.62
6 In 0.0000 0.0000 0.5000 x2  6 Pr 3.59-3.60, 6 Nd 3.61-3.62

***

> What is the magnetic moment in the second record?

0.5 Bohr magnetons per cell